CuPd4O: optimized geometry, PBE.

a = 7.235 Å, b = 7.235 Å, c = 7.422 Å
α = 90.00°, β = 90.00°, γ = 90.00°
Space group I4_1md (No. 109)
Inequivalent atoms, fractional coordinates:
Cu (0.000, 0.000, 0.000)
Pd (0.000, 0.181, 0.290)
Pd (0.000, 0.253, 0.766)
O (0.000, 0.000, 0.644)

VASP energy   -4.70 eV/atom
Size of the total moment   0.00 μB/f.u.
Uncorrected formation energy   0.2722 eV/atom



Cu2Pd3O6: optimized geometry, PBE.

a = 5.0099 Å, b = 5.0099 Å, c = 35.8402 Å
α = 90.00°, β = 90.00°, γ = 120.00°
Space group R-3c (No. 167, hexagonal axes)
Inequivalent atoms, fractional coordinates:
Cu (0.0000, 0.0000, 0.1665)
Pd (0.0000, 0.3250, 0.2500)
O (0.0025, 0.3499, 0.5297)

VASP energy   -5.10 eV/atom
Size of the total moment   0.00 μB/f.u.
Uncorrected formation energy   -0.2381 eV/atom



CuPd2O: optimized geometry, PBE.

a = 4.704 Å, b = 4.704 Å, c = 12.374 Å
α = 90.00°, β = 90.00°, γ = 90.00°
Space group I-42d (No. 122)
Inequivalent atoms, fractional coordinates:
Cu (0.000, 0.000, 0.000)
Pd (0.124, 0.250, 0.625)
O (0.000, 0.000, 0.500)

VASP energy   -4.55 eV/atom
Size of the total moment   0.00 μB/f.u.
Uncorrected formation energy   0.3139 eV/atom



CuPd2O3: optimized geometry, PBE.

a = 9.806 Å, b = 5.677 Å, c = 5.656 Å
α = 90.00°, β = 90.00°, γ = 90.00°
Space group Cmc2_1 (No. 36)
Inequivalent atoms, fractional coordinates:
Cu (0.000, 0.115, 0.000)
Pd (0.134, 0.477, 0.466)
O (0.000, 0.208, 0.420)
O (0.184, 0.187, 0.995)

VASP energy   -5.15 eV/atom
Size of the total moment   0.47 μB/f.u.
Uncorrected formation energy   -0.2574 eV/atom



Cu2PdO4: optimized geometry, PBE.

a = 5.856 Å, b = 5.856 Å, c = 9.359 Å
α = 90.00°, β = 90.00°, γ = 90.00°
Space group I4_1/amd (No. 141, origin choice 2)
Inequivalent atoms, fractional coordinates:
Cu (0.000, 0.000, 0.000)
Pd (0.000, 0.250, 0.375)
O (0.000, 0.038, 0.748)

VASP energy   -5.04 eV/atom
Excess energy over the best structure of this formula in the dataset   94 meV/atom
Size of the total moment   0.00 μB/f.u.
Uncorrected formation energy   -0.2981 eV/atom



Cu3Pd4O12: optimized geometry, PBE.

a = 7.516 Å, b = 7.516 Å, c = 7.516 Å
α = 90.00°, β = 90.00°, γ = 90.00°
Space group Im-3 (No. 204)
Inequivalent atoms, fractional coordinates:
Cu (0.000, 0.000, 0.500)
Pd (0.250, 0.250, 0.250)
O (0.000, 0.331, 0.182)

VASP energy   -5.19 eV/atom
Size of the total moment   0.00 μB/f.u.
Uncorrected formation energy   -0.3149 eV/atom



> Which of these has the highest uncorrected formation energy?

CuPd2O



Repeat the third record exactly.
CuPd2O: optimized geometry, PBE.

a = 4.704 Å, b = 4.704 Å, c = 12.374 Å
α = 90.00°, β = 90.00°, γ = 90.00°
Space group I-42d (No. 122)
Inequivalent atoms, fractional coordinates:
Cu (0.000, 0.000, 0.000)
Pd (0.124, 0.250, 0.625)
O (0.000, 0.000, 0.500)

VASP energy   -4.55 eV/atom
Size of the total moment   0.00 μB/f.u.
Uncorrected formation energy   0.3139 eV/atom